Record 1
ZrNbC | PBE | optimized geometry Values from VASP.

Quantum ESPRESSO input file:
```
&SYSTEM
  ibrav = 0, nat = 6, ntyp = 3
/
ATOMIC_SPECIES
Zr 91.22 Zr.upf
Nb 92.91 Nb.upf
C 12.01 C.upf
CELL_PARAMETERS angstrom
5.4741 0.0000 0.0000
0.0000 3.3089 0.0000
0.0000 0.0000 5.2863
ATOMIC_POSITIONS crystal
Zr 0.2500 0.0000 0.1882
Zr 0.7500 0.0000 0.8118
Nb 0.2500 0.5000 0.6976
Nb 0.7500 0.5000 0.3024
C 0.0000 0.5000 0.0000
C 0.5000 0.5000 0.0000
```

Energy relative to the elements, eV/f.u.: -1.033
Energy relative to the lowest polymorph listed for this composition, eV per atom: 0.1387
Magnetization, μB per cell: 0.00
N(E_F), states/eV per atom: 0.78

---

Record 2
ZrNbC3 | PBE | optimized geometry Values from VASP.

Quantum ESPRESSO input file:
```
&SYSTEM
  ibrav = 0, nat = 5, ntyp = 3
/
ATOMIC_SPECIES
Zr 91.22 Zr.upf
Nb 92.91 Nb.upf
C 12.01 C.upf
CELL_PARAMETERS angstrom
4.1590 0.0000 0.0000
0.0000 4.1590 0.0000
0.0000 0.0000 4.1590
ATOMIC_POSITIONS crystal
Zr 0.0000 0.0000 0.0000
Nb 0.5000 0.5000 0.5000
C 0.0000 0.0000 0.5000
C 0.0000 0.5000 0.0000
C 0.5000 0.0000 0.0000
```

Energy relative to the elements, eV/f.u.: 10.205
Energy relative to the lowest polymorph listed for this composition, eV per atom: 0.7760
Magnetization, μB per cell: 0.94
N(E_F), states/eV per atom: 1.08

---

Record 3
ZrNb3C | PBE | optimized geometry Values from VASP.

Quantum ESPRESSO input file:
```
&SYSTEM
  ibrav = 0, nat = 5, ntyp = 3
/
ATOMIC_SPECIES
Zr 91.22 Zr.upf
Nb 92.91 Nb.upf
C 12.01 C.upf
CELL_PARAMETERS angstrom
4.8779 0.0000 0.0000
0.0000 4.8779 0.0000
0.0000 0.0000 4.8779
ATOMIC_POSITIONS crystal
Zr 0.0000 0.0000 0.0000
Nb 0.0000 0.0000 0.5000
Nb 0.0000 0.5000 0.0000
Nb 0.5000 0.0000 0.0000
C 0.5000 0.5000 0.5000
```

Energy relative to the elements, eV/f.u.: 14.719
Energy relative to the lowest polymorph listed for this composition, eV per atom: 3.0839
Magnetization, μB per cell: 0.00
N(E_F), states/eV per atom: 1.75